(1)
A plane-wave DFT calculation with PBE was carried out for an optimized crystal structure of LaSc2Se.

Space group: Immm, No. 71
Density: 5.01 g/cm3
Total DFT energy (no corrections): -23.8 eV/cell

Lattice parameters (Å, degrees): 6.309 6.309 6.309 147.96 129.38 61.17
Atoms (fractional coordinates):
La 0.000 0.000 0.000
Sc 0.296 0.796 0.500
Sc 0.704 0.204 0.500
Se 0.500 0.500 0.000

---

(2)
A plane-wave DFT calculation with PBE was carried out for an optimized crystal structure of GaSn3Ir.

Space group: Pm-3m, No. 221
Excess energy over the best structure of this formula in the dataset: 119.2 kJ per mole of atoms
Energy of formation: 1.064 eV per atom
Density: 7.70 g/cm3

Lattice parameters (Å, degrees): 5.109 5.109 5.109 90.00 90.00 90.00
Atoms (fractional coordinates):
Ga 0.000 0.000 0.000
Sn 0.000 0.000 0.500
Sn 0.000 0.500 0.000
Sn 0.500 0.000 0.000
Ir 0.500 0.500 0.500

---

(3)
A plane-wave DFT calculation with PBE was carried out for an optimized crystal structure of TaFeAg2.

Space group: R-3m, No. 166
Excess energy over the best structure of this formula in the dataset: 18.0 kJ per mole of atoms
Energy of formation: 0.405 eV per atom
Density: 11.31 g/cm3

Lattice parameters (Å, degrees): 9.675 9.675 9.675 16.86 16.86 16.86
Atoms (fractional coordinates):
Ta 0.000 0.000 0.000
Fe 0.500 0.500 0.500
Ag 0.246 0.246 0.246
Ag 0.754 0.754 0.754

---

(4)
A plane-wave DFT calculation with PBE was carried out for an optimized crystal structure of AcTbPm3Y.

Space group: P2_1/m, No. 11
Energy of formation: 0.037 eV per atom
Density: 7.13 g/cm3

Lattice parameters (Å, degrees): 8.220 5.219 10.412 90.00 108.51 90.00
Atoms (fractional coordinates):
Ac 0.169 0.250 0.292
Ac 0.831 0.750 0.708
Tb 0.497 0.250 0.628
Tb 0.503 0.750 0.372
Pm 0.172 0.250 0.793
Pm 0.172 0.750 0.040
Pm 0.172 0.750 0.546
Pm 0.828 0.250 0.454
Pm 0.828 0.250 0.960
Pm 0.828 0.750 0.207
Y 0.496 0.750 0.877
Y 0.504 0.250 0.123

---

(5)
A plane-wave DFT calculation with PBE was carried out for an optimized crystal structure of CaZn2CoSn.

Space group: P4/mmm, No. 123
Energy of formation: -0.146 eV per atom
Density: 5.47 g/cm3

Lattice parameters (Å, degrees): 4.697 4.697 4.799 90.00 90.00 90.00
Atoms (fractional coordinates):
Ca 0.000 0.000 0.000
Zn 0.000 0.500 0.500
Zn 0.500 0.000 0.500
Co 0.500 0.500 0.500
Sn 0.500 0.500 0.000

---

(6)
A plane-wave DFT calculation with PBE was carried out for an optimized crystal structure of TbHo2Ir.

Space group: R-3m, No. 166
Excess energy over the best structure of this formula in the dataset: 43.5 kJ per mole of atoms
Energy of formation: -0.136 eV per atom
Density: 8.96 g/cm3

Lattice parameters (Å, degrees): 10.698 10.698 10.698 20.08 20.08 20.08
Atoms (fractional coordinates):
Tb 0.000 0.000 0.000
Ho 0.114 0.114 0.114
Ho 0.886 0.886 0.886
Ir 0.500 0.500 0.500

---

(7)
A plane-wave DFT calculation with PBE was carried out for an optimized crystal structure of Cd2PbAu.

Space group: Pmmm, No. 47
Energy of formation: -0.051 eV per atom
Density: 11.00 g/cm3

Lattice parameters (Å, degrees): 3.426 3.464 8.003 90.00 90.00 90.00
Atoms (fractional coordinates):
Cd 0.000 0.000 0.205
Cd 0.000 0.000 0.795
Pb 0.500 0.500 0.500
Au 0.500 0.500 0.000

---

(8)
A plane-wave DFT calculation with PBE was carried out for an optimized crystal structure of NaNb4Cl7.

Space group: Pmn2_1, No. 31
Density: 3.74 g/cm3
Total DFT energy (no corrections): -126.7 eV/cell

Lattice parameters (Å, degrees): 15.804 6.090 5.928 90.00 90.00 90.00
Atoms (fractional coordinates):
Na 0.000 0.171 0.000
Na 0.500 0.829 0.500
Nb 0.157 0.768 0.444
Nb 0.239 0.104 0.374
Nb 0.261 0.896 0.874
Nb 0.343 0.232 0.944
Nb 0.657 0.232 0.944
Nb 0.739 0.896 0.874
Nb 0.761 0.104 0.374
Nb 0.843 0.768 0.444
Cl 0.000 0.861 0.338
Cl 0.102 0.819 0.827
Cl 0.125 0.376 0.261
Cl 0.204 0.292 0.752
Cl 0.296 0.708 0.252
Cl 0.375 0.624 0.761
Cl 0.398 0.181 0.327
Cl 0.500 0.139 0.838
Cl 0.602 0.181 0.327
Cl 0.625 0.624 0.761
Cl 0.704 0.708 0.252
Cl 0.796 0.292 0.752
Cl 0.875 0.376 0.261
Cl 0.898 0.819 0.827

---

(9)
A plane-wave DFT calculation with PBE was carried out for an optimized crystal structure of NdDy4Hg4.

Space group: P4_2/n, No. 86
Energy of formation: -0.257 eV per atom
Density: 10.42 g/cm3

Lattice parameters (Å, degrees): 9.592 9.592 5.529 90.00 90.00 90.00
Atoms (fractional coordinates):
Nd 0.250 0.250 0.250
Nd 0.750 0.750 0.750
Dy 0.100 0.839 0.659
Dy 0.161 0.600 0.159
Dy 0.339 0.900 0.159
Dy 0.400 0.661 0.659
Dy 0.600 0.339 0.341
Dy 0.661 0.100 0.841
Dy 0.839 0.400 0.841
Dy 0.900 0.161 0.341
Hg 0.042 0.144 0.841
Hg 0.144 0.458 0.659
Hg 0.356 0.042 0.659
Hg 0.458 0.356 0.841
Hg 0.542 0.644 0.159
Hg 0.644 0.958 0.341
Hg 0.856 0.542 0.341
Hg 0.958 0.856 0.159

---

(10)
A plane-wave DFT calculation with PBE was carried out for an optimized crystal structure of CaTa2I.

Space group: Fm-3m, No. 225
Excess energy over the best structure of this formula in the dataset: 60.1 kJ per mole of atoms
Density: 9.87 g/cm3

Lattice parameters (Å, degrees): 5.012 5.012 5.012 60.00 60.00 60.00
Atoms (fractional coordinates):
Ca 0.000 0.000 0.000
Ta 0.250 0.250 0.250
Ta 0.750 0.750 0.750
I 0.500 0.500 0.500

---

(11)
A plane-wave DFT calculation with PBE was carried out for an optimized crystal structure of Tb2PmHo6Er3.

Space group: C2/m, No. 12
Energy of formation: 0.019 eV per atom
Density: 8.67 g/cm3

Lattice parameters (Å, degrees): 6.121 6.121 11.710 94.99 94.99 119.96
Atoms (fractional coordinates):
Tb 0.167 0.833 0.000
Tb 0.833 0.167 0.000
Pm 0.500 0.500 0.000
Ho 0.081 0.415 0.748
Ho 0.251 0.251 0.252
Ho 0.415 0.081 0.748
Ho 0.585 0.919 0.252
Ho 0.749 0.749 0.748
Ho 0.919 0.585 0.252
Er 0.000 0.000 0.500
Er 0.333 0.667 0.500
Er 0.667 0.333 0.500

---

(12)
A plane-wave DFT calculation with PBE was carried out for an optimized crystal structure of CsSr2Ag.

Space group: R-3m, No. 166
Excess energy over the best structure of this formula in the dataset: 4.4 kJ per mole of atoms
Energy of formation: -0.020 eV per atom
Density: 2.96 g/cm3

Lattice parameters (Å, degrees): 12.785 12.785 12.785 20.93 20.93 20.93
Atoms (fractional coordinates):
Cs 0.000 0.000 0.000
Sr 0.120 0.120 0.120
Sr 0.880 0.880 0.880
Ag 0.500 0.500 0.500

---

(13)
A plane-wave DFT calculation with PBE was carried out for an optimized crystal structure of ErHSe.

Space group: P4/nmm, No. 129
Density: 8.36 g/cm3
Total DFT energy (no corrections): -30.8 eV/cell

Lattice parameters (Å, degrees): 3.819 3.819 6.733 90.00 90.00 90.00
Atoms (fractional coordinates):
Er 0.250 0.250 0.197
Er 0.750 0.750 0.803
H 0.250 0.750 0.000
H 0.750 0.250 0.000
Se 0.250 0.250 0.655
Se 0.750 0.750 0.345